(1)
SiTc2H | PBE | relaxed

Unit cell a=4.051 b=4.051 c=4.051 alpha=60.00 beta=60.00 gamma=60.00
Element x y z (fractional)
Si: 0.000 0.000 0.000
Tc: 0.250 0.250 0.250
Tc: 0.750 0.750 0.750
H: 0.500 0.500 0.500

Summary:
* relative energy among the computed polymorphs: 0.467 eV per atom
* ρ: 7.95 g cm⁻³
* space group: Fm-3m
* crystal system: cubic

***

(2)
PmDy4Al5 | PBE | relaxed

Unit cell a=3.613 b=3.613 c=18.157 alpha=90.00 beta=90.00 gamma=90.00
Element x y z (fractional)
Pm: 0.000 0.000 0.000
Dy: 0.000 0.000 0.204
Dy: 0.000 0.000 0.402
Dy: 0.000 0.000 0.598
Dy: 0.000 0.000 0.796
Al: 0.500 0.500 0.107
Al: 0.500 0.500 0.303
Al: 0.500 0.500 0.500
Al: 0.500 0.500 0.697
Al: 0.500 0.500 0.893

Summary:
* ρ: 6.52 g cm⁻³
* total DFT energy (no corrections): -4.5778 eV per atom
* space group: P4/mmm
* crystal system: tetragonal

***

(3)
In2CuAgPb | PBE | relaxed

Unit cell a=5.291 b=5.291 c=4.922 alpha=90.00 beta=90.00 gamma=90.00
Element x y z (fractional)
In: 0.000 0.500 0.000
In: 0.500 0.000 0.000
Cu: 0.000 0.000 0.500
Ag: 0.000 0.000 0.000
Pb: 0.500 0.500 0.500

Summary:
* ρ: 7.33 g cm⁻³
* total DFT energy (no corrections): -2.8138 eV per atom
* space group: P4/mmm
* crystal system: tetragonal